(1)
A plane-wave DFT calculation with GGA-PBEsol was carried out for a relaxed YCdPb2 crystal.

```
8
Lattice="4.426 0.000 0.000 0.000 4.426 0.000 0.000 0.000 10.404" Properties=species:S:1:pos:R:3 pbc="T T T"
Y 0.000 0.000 0.000
Y 2.213 2.213 5.202
Cd 0.000 2.213 2.601
Cd 2.213 0.000 7.803
Pb 0.000 0.000 5.202
Pb 0.000 2.213 7.803
Pb 2.213 0.000 2.601
Pb 2.213 2.213 0.000
```

Calculated formation energy: -1.31 eV per formula unit
DOS(E_F): 0.4796 states/eV/atom
Magnetization: 0.00 μB/f.u.

---

(2)
A plane-wave DFT calculation with GGA-PBEsol was carried out for a relaxed ZnCd2Pb2 crystal.

```
10
Lattice="3.900 0.000 0.000 0.000 3.900 0.000 0.000 0.000 16.864" Properties=species:S:1:pos:R:3 pbc="T T T"
Zn 0.000 0.000 0.000
Zn 1.950 1.950 8.432
Cd 0.000 1.950 4.216
Cd 0.000 1.950 12.648
Cd 1.950 0.000 4.216
Cd 1.950 0.000 12.648
Pb 0.000 0.000 6.787
Pb 0.000 0.000 10.077
Pb 1.950 1.950 1.645
Pb 1.950 1.950 15.219
```

Calculated formation energy: 1.11 eV per formula unit
DOS(E_F): 0.4214 states/eV/atom
Magnetization: 0.00 μB/f.u.

---

(3)
A plane-wave DFT calculation with GGA-PBEsol was carried out for a relaxed ZnCd2Pb crystal.

```
12
Lattice="3.233 0.000 0.000 -1.617 2.800 0.000 0.000 0.000 29.289" Properties=species:S:1:pos:R:3 pbc="T T T"
Zn 0.000 0.000 0.000
Zn 0.000 1.867 19.526
Zn 1.617 0.933 9.763
Cd 0.000 0.000 7.647
Cd 0.000 0.000 21.642
Cd 0.000 1.867 11.879
Cd 0.000 1.867 27.173
Cd 1.617 0.933 2.116
Cd 1.617 0.933 17.410
Pb 0.000 0.000 14.644
Pb 0.000 1.867 4.881
Pb 1.617 0.933 24.407
```

Calculated formation energy: 0.47 eV per formula unit
DOS(E_F): 0.3021 states/eV/atom
ΔE to the lowest computed polymorph: 0.021 eV per atom
Magnetization: 0.00 μB/f.u.

---

> The highest DOS(E_F) belongs to which entry?

YCdPb2